# YHf2Nb

A geometry-optimized YHf2Nb structure (PBE, Alexandria via LeMat-Bulk).

Geometry as CIF:
```
data_YHf2Nb
_chemical_formula_sum 'Y1 Hf2 Nb1'
_cell_length_a 3.535
_cell_length_b 3.535
_cell_length_c 7.535
_cell_angle_alpha 90.00
_cell_angle_beta 90.00
_cell_angle_gamma 90.00
_space_group_name_H-M_alt 'P 4/m m m'
_space_group_IT_number 123
_space_group_name_Hall '-P 4 2'
loop_
_atom_site_label
_atom_site_type_symbol
_atom_site_fract_x
_atom_site_fract_y
_atom_site_fract_z
Y1 Y 0.000 0.000 0.000
Hf1 Hf 0.500 0.500 0.299
Nb1 Nb 0.000 0.000 0.500
```

Output
relative energy among the computed polymorphs	0.000	eV/atom
crystal system	tetragonal

# YHf2Nb2

A geometry-optimized YHf2Nb2 structure (PBE, Alexandria via LeMat-Bulk).

Geometry as CIF:
```
data_YHf2Nb2
_chemical_formula_sum 'Y2 Hf4 Nb4'
_cell_length_a 8.064
_cell_length_b 8.064
_cell_length_c 3.481
_cell_angle_alpha 90.00
_cell_angle_beta 90.00
_cell_angle_gamma 90.00
_space_group_name_H-M_alt 'P 4/m b m'
_space_group_IT_number 127
_space_group_name_Hall '-P 4 2ab'
loop_
_atom_site_label
_atom_site_type_symbol
_atom_site_fract_x
_atom_site_fract_y
_atom_site_fract_z
Y1 Y 0.000 0.000 0.000
Hf1 Hf 0.143 0.357 0.500
Nb1 Nb 0.144 0.644 0.000
```

Output
relative energy among the computed polymorphs	0.000	eV/atom
crystal system	tetragonal

# Y2HfNb

A geometry-optimized Y2HfNb structure (PBE, Alexandria via LeMat-Bulk).

Geometry as CIF:
```
data_Y2HfNb
_chemical_formula_sum 'Y8 Hf4 Nb4'
_cell_length_a 8.209
_cell_length_b 8.209
_cell_length_c 6.154
_cell_angle_alpha 90.00
_cell_angle_beta 90.00
_cell_angle_gamma 90.00
_space_group_name_H-M_alt 'I -4 2 d'
_space_group_IT_number 122
_space_group_name_Hall 'I -4 2bw'
loop_
_atom_site_label
_atom_site_type_symbol
_atom_site_fract_x
_atom_site_fract_y
_atom_site_fract_z
Y1 Y 0.232 0.250 0.125
Hf1 Hf 0.000 0.000 0.500
Nb1 Nb 0.000 0.000 0.000
```

Output
relative energy among the computed polymorphs	0.352	eV/atom
crystal system	tetragonal

# YHf2Nb

A geometry-optimized YHf2Nb structure (PBE, Alexandria via LeMat-Bulk).

Geometry as CIF:
```
data_YHf2Nb
_chemical_formula_sum 'Y4 Hf8 Nb4'
_cell_length_a 7.930
_cell_length_b 7.930
_cell_length_c 6.119
_cell_angle_alpha 90.00
_cell_angle_beta 90.00
_cell_angle_gamma 90.00
_space_group_name_H-M_alt 'I -4 2 d'
_space_group_IT_number 122
_space_group_name_Hall 'I -4 2bw'
loop_
_atom_site_label
_atom_site_type_symbol
_atom_site_fract_x
_atom_site_fract_y
_atom_site_fract_z
Y1 Y 0.000 0.000 0.000
Hf1 Hf 0.221 0.250 0.625
Nb1 Nb 0.000 0.000 0.500
```

Output
relative energy among the computed polymorphs	0.547	eV/atom
crystal system	tetragonal

# YHf3Nb

A geometry-optimized YHf3Nb structure (PBE, Alexandria via LeMat-Bulk).

Geometry as CIF:
```
data_YHf3Nb
_chemical_formula_sum 'Y1 Hf3 Nb1'
_cell_length_a 5.027
_cell_length_b 5.027
_cell_length_c 5.027
_cell_angle_alpha 90.00
_cell_angle_beta 90.00
_cell_angle_gamma 90.00
_space_group_name_H-M_alt 'P m -3 m'
_space_group_IT_number 221
_space_group_name_Hall '-P 4 2 3'
loop_
_atom_site_label
_atom_site_type_symbol
_atom_site_fract_x
_atom_site_fract_y
_atom_site_fract_z
Y1 Y 0.000 0.000 0.000
Hf1 Hf 0.000 0.000 0.500
Nb1 Nb 0.500 0.500 0.500
```

Output
relative energy among the computed polymorphs	1.096	eV/atom
crystal system	cubic

# YHf2Nb

A geometry-optimized YHf2Nb structure (PBE, Alexandria via LeMat-Bulk).

Geometry as CIF:
```
data_YHf2Nb
_chemical_formula_sum 'Y4 Hf8 Nb4'
_cell_length_a 7.121
_cell_length_b 7.121
_cell_length_c 7.121
_cell_angle_alpha 90.00
_cell_angle_beta 90.00
_cell_angle_gamma 90.00
_space_group_name_H-M_alt 'F m -3 m'
_space_group_IT_number 225
_space_group_name_Hall '-F 4 2 3'
loop_
_atom_site_label
_atom_site_type_symbol
_atom_site_fract_x
_atom_site_fract_y
_atom_site_fract_z
Y1 Y 0.000 0.000 0.000
Hf1 Hf 0.250 0.250 0.250
Nb1 Nb 0.000 0.000 0.500
```

Output
relative energy among the computed polymorphs	0.159	eV/atom
crystal system	cubic

# YHf3Nb

A geometry-optimized YHf3Nb structure (PBE, Alexandria via LeMat-Bulk).

Geometry as CIF:
```
data_YHf3Nb
_chemical_formula_sum 'Y1 Hf3 Nb1'
_cell_length_a 5.133
_cell_length_b 5.133
_cell_length_c 5.133
_cell_angle_alpha 90.00
_cell_angle_beta 90.00
_cell_angle_gamma 90.00
_space_group_name_H-M_alt 'P m -3 m'
_space_group_IT_number 221
_space_group_name_Hall '-P 4 2 3'
loop_
_atom_site_label
_atom_site_type_symbol
_atom_site_fract_x
_atom_site_fract_y
_atom_site_fract_z
Y1 Y 0.000 0.000 0.000
Hf1 Hf 0.000 0.500 0.500
Nb1 Nb 0.500 0.500 0.500
```

Output
relative energy among the computed polymorphs	0.000	eV/atom
crystal system	cubic

# HfNbZn4

A geometry-optimized HfNbZn4 structure (PBE, Alexandria via LeMat-Bulk).

Geometry as CIF:
```
data_HfNbZn4
_chemical_formula_sum 'Hf4 Nb4 Zn16'
_cell_length_a 7.242
_cell_length_b 7.242
_cell_length_c 7.242
_cell_angle_alpha 90.00
_cell_angle_beta 90.00
_cell_angle_gamma 90.00
_space_group_name_H-M_alt 'F -4 3 m'
_space_group_IT_number 216
_space_group_name_Hall 'F -4 2 3'
loop_
_atom_site_label
_atom_site_type_symbol
_atom_site_fract_x
_atom_site_fract_y
_atom_site_fract_z
Hf1 Hf 0.000 0.000 0.000
Nb1 Nb 0.250 0.250 0.750
Zn1 Zn 0.125 0.125 0.375
```

Output
crystal system	cubic

# Hf4NbZn5

A geometry-optimized Hf4NbZn5 structure (PBE, Alexandria via LeMat-Bulk).

Geometry as CIF:
```
data_Hf4NbZn5
_chemical_formula_sum 'Hf4 Nb1 Zn5'
_cell_length_a 3.361
_cell_length_b 3.361
_cell_length_c 15.664
_cell_angle_alpha 90.00
_cell_angle_beta 90.00
_cell_angle_gamma 90.00
_space_group_name_H-M_alt 'P 4/m m m'
_space_group_IT_number 123
_space_group_name_Hall '-P 4 2'
loop_
_atom_site_label
_atom_site_type_symbol
_atom_site_fract_x
_atom_site_fract_y
_atom_site_fract_z
Hf1 Hf 0.000 0.000 0.103
Hf2 Hf 0.000 0.000 0.309
Nb1 Nb 0.000 0.000 0.500
Zn1 Zn 0.500 0.500 0.000
Zn2 Zn 0.500 0.500 0.207
Zn3 Zn 0.500 0.500 0.408
```

Output
crystal system	tetragonal

# Hf2Nb2Zn

A geometry-optimized Hf2Nb2Zn structure (PBE, Alexandria via LeMat-Bulk).

Geometry as CIF:
```
data_Hf2Nb2Zn
_chemical_formula_sum 'Hf4 Nb4 Zn2'
_cell_length_a 7.094
_cell_length_b 7.094
_cell_length_c 3.991
_cell_angle_alpha 90.00
_cell_angle_beta 90.00
_cell_angle_gamma 90.00
_space_group_name_H-M_alt 'P 4/m b m'
_space_group_IT_number 127
_space_group_name_Hall '-P 4 2ab'
loop_
_atom_site_label
_atom_site_type_symbol
_atom_site_fract_x
_atom_site_fract_y
_atom_site_fract_z
Hf1 Hf 0.168 0.332 0.000
Nb1 Nb 0.134 0.634 0.500
Zn1 Zn 0.000 0.000 0.500
```

Output
relative energy among the computed polymorphs	0.255	eV/atom
crystal system	tetragonal

# HfNb3Zn8

A geometry-optimized HfNb3Zn8 structure (PBE, Alexandria via LeMat-Bulk).

Geometry as CIF:
```
data_HfNb3Zn8
_chemical_formula_sum 'Hf1 Nb3 Zn8'
_cell_length_a 5.1205
_cell_length_b 5.1205
_cell_length_c 8.1919
_cell_angle_alpha 90.00
_cell_angle_beta 90.00
_cell_angle_gamma 120.00
_space_group_name_H-M_alt 'P 3 m 1'
_space_group_IT_number 156
_space_group_name_Hall 'P 3 -2"'
loop_
_atom_site_label
_atom_site_type_symbol
_atom_site_fract_x
_atom_site_fract_y
_atom_site_fract_z
Hf1 Hf 0.0000 0.0000 0.0000
Nb1 Nb 0.0000 0.0000 0.3691
Nb2 Nb 0.6667 0.3333 0.5004
Nb3 Nb 0.6667 0.3333 0.8545
Zn1 Zn 0.1611 0.3222 0.6792
Zn2 Zn 0.3333 0.6667 0.4308
Zn3 Zn 0.3333 0.6667 0.9301
Zn4 Zn 0.5063 0.0126 0.1834
```

Output
crystal system	trigonal

# Hf2Nb2Zn

A geometry-optimized Hf2Nb2Zn structure (PBE, Alexandria via LeMat-Bulk).

Geometry as CIF:
```
data_Hf2Nb2Zn
_chemical_formula_sum 'Hf4 Nb4 Zn2'
_cell_length_a 3.377
_cell_length_b 3.377
_cell_length_c 16.708
_cell_angle_alpha 90.00
_cell_angle_beta 90.00
_cell_angle_gamma 90.00
_space_group_name_H-M_alt 'I 4/m m m'
_space_group_IT_number 139
_space_group_name_Hall '-I 4 2'
loop_
_atom_site_label
_atom_site_type_symbol
_atom_site_fract_x
_atom_site_fract_y
_atom_site_fract_z
Hf1 Hf 0.000 0.000 0.100
Nb1 Nb 0.000 0.000 0.295
Zn1 Zn 0.000 0.000 0.500
```

Output
relative energy among the computed polymorphs	0.000	eV/atom
crystal system	tetragonal

Number 1: E_form 0.118 eV per atom. Number 2: E_form 0.218 eV per atom. Number 3: E_form 0.801 eV per atom. Number 4: E_form 0.666 eV per atom. Number 5: E_form 1.804 eV per atom. Number 6: E_form 0.277 eV per atom. Number 7: E_form 0.707 eV per atom. Number 8: E_form -0.171 eV per atom. Number 9: E_form -0.134 eV per atom. Number 10: E_form 0.145 eV per atom. Number 11: E_form -0.161 eV per atom. Number 12: E_form -0.110 eV per atom.